Density functional theory data (PBEsol) for SrAs2RuSe after structural relaxation.

As for the theoretical density: 4.4 g/cm³. For the total magnetization, the calculation gives 2.7 Bohr magnetons per cell. The value obtained for the uncorrected formation energy is 1.72 eV/atom. The value obtained for the energy above the most stable polymorph in this dataset is 200.9 kJ per mole of atoms.

The structure belongs to space group P4/mmm (No. 123); the cell edges are 5.387, 5.387 and 5.412 Å and the angles 90.00°, 90.00° and 90.00°. Symmetry generates all atoms from Sr at (0.000, 0.000, 0.000), As at (0.000, 0.500, 0.000), Ru at (0.500, 0.500, 0.500) and Se at (0.000, 0.000, 0.500).

=====

Density functional theory data (PBEsol) for TlAsRuSe2 after structural relaxation.

As for the theoretical density: 7.7 g/cm³. For the total magnetization, the calculation gives 0.0 Bohr magnetons per cell. The value obtained for the uncorrected formation energy is 0.25 eV/atom.

The structure belongs to space group P4/mmm (No. 123); the cell edges are 5.044, 5.044 and 4.567 Å and the angles 90.00°, 90.00° and 90.00°. Symmetry generates all atoms from Tl at (0.000, 0.000, 0.000), As at (0.500, 0.500, 0.000), Ru at (0.500, 0.500, 0.500) and Se at (0.000, 0.500, 0.500).

=====

Density functional theory data (PBEsol) for ZrAsRuSe2 after structural relaxation.

As for the theoretical density: 5.4 g/cm³. For the total magnetization, the calculation gives 2.9 Bohr magnetons per cell. The value obtained for the uncorrected formation energy is 0.75 eV/atom.

The structure belongs to space group P4/mmm (No. 123); the cell edges are 5.042, 5.042 and 5.116 Å and the angles 90.00°, 90.00° and 90.00°. Symmetry generates all atoms from Zr at (0.000, 0.000, 0.000), As at (0.000, 0.000, 0.500), Ru at (0.500, 0.500, 0.500) and Se at (0.000, 0.500, 0.000).

=====

Density functional theory data (PBEsol) for SiAsRu2 after structural relaxation.

As for the theoretical density: 8.7 g/cm³. For the total magnetization, the calculation gives 0.0 Bohr magnetons per cell. The value obtained for the uncorrected formation energy is 0.31 eV/atom.

The structure belongs to space group Cmm2 (No. 35); the cell edges are 2.975, 4.708 and 8.284 Å and the angles 90.00°, 90.00° and 90.00°. Symmetry generates all atoms from Si at (0.000, 0.000, 0.000), As at (0.000, 0.500, 0.281), Ru at (0.000, 0.000, 0.514) and Ru at (0.000, 0.500, 0.785).